DFT (PBE) results for a geometry-optimized Sr3Li2Zn2Au4 structure.

Values from the calculation:
* crystal system: trigonal
* energy: -0.1015 Ha/atom
* magnetic moment: 0.00 μB/atom
* symmetry: P-3m1, No. 164
* density: 7.067 g cm⁻³
* ΔE_f: -0.532 eV/atom

Cell: 4.579 4.579 15.471 Å, 90.00 90.00 120.00°
Fractional coordinates of all 11 atoms:
Sr  0.000  0.000  0.000
Sr  0.000  0.000  0.271
Sr  0.000  0.000  0.729
Li  0.333  0.667  0.559
Li  0.667  0.333  0.441
Zn  0.333  0.667  0.138
Zn  0.667  0.333  0.862
Au  0.333  0.667  0.389
Au  0.333  0.667  0.865
Au  0.667  0.333  0.135
Au  0.667  0.333  0.611